# 1
# LaPrAl PBE optimized geometry
data_LaPrAl
_space_group_name_H-M_alt 'I 4 m m'
_space_group_IT_number 107
_space_group_name_Hall 'I 4 -2'
_cell_length_a 3.5655
_cell_length_b 3.5655
_cell_length_c 14.3601
_cell_angle_alpha 90.00
_cell_angle_beta 90.00
_cell_angle_gamma 90.00
loop_
_atom_site_label
_atom_site_type_symbol
_atom_site_fract_x
_atom_site_fract_y
_atom_site_fract_z
La1 La 0.0000 0.0000 0.0000
Pr1 Pr 0.0000 0.0000 0.2880
Al1 Al 0.0000 0.0000 0.6462
# energy of formation	-194	meV/atom
# energy above the lowest structure with this stoichiometry	0.000	eV per atom

---

# 2
# Ca3S2Br2 PBE optimized geometry
data_Ca3S2Br2
_space_group_name_H-M_alt 'C 1 2/m 1'
_space_group_IT_number 12
_space_group_name_Hall '-C 2y'
_cell_length_a 15.2379
_cell_length_b 4.3602
_cell_length_c 7.2879
_cell_angle_alpha 90.00
_cell_angle_beta 118.36
_cell_angle_gamma 90.00
loop_
_atom_site_label
_atom_site_type_symbol
_atom_site_fract_x
_atom_site_fract_y
_atom_site_fract_z
Ca1 Ca 0.0000 0.0000 0.0000
Ca2 Ca 0.2065 0.5000 0.7594
S1 S 0.1296 0.0000 0.8463
Br1 Br 0.1364 0.5000 0.2961
# energy relative to the elements, uncorrected	-1.944	eV per atom

---

# 3
# AcCdPt PBE optimized geometry
data_AcCdPt
_space_group_name_H-M_alt 'P -6 m 2'
_space_group_IT_number 187
_space_group_name_Hall 'P -6 2'
_cell_length_a 4.7683
_cell_length_b 4.7683
_cell_length_c 4.1055
_cell_angle_alpha 90.00
_cell_angle_beta 90.00
_cell_angle_gamma 120.00
loop_
_atom_site_label
_atom_site_type_symbol
_atom_site_fract_x
_atom_site_fract_y
_atom_site_fract_z
Ac1 Ac 0.0000 0.0000 0.0000
Cd1 Cd 0.6667 0.3333 0.5000
Pt1 Pt 0.3333 0.6667 0.5000
# energy of formation	-719	meV/atom
# energy above the lowest structure with this stoichiometry	0.130	eV per atom

---

# 4
# U2GeTe PBE optimized geometry
data_U2GeTe
_space_group_name_H-M_alt 'P 4/m m m'
_space_group_IT_number 123
_space_group_name_Hall '-P 4 2'
_cell_length_a 3.6130
_cell_length_b 3.6130
_cell_length_c 7.3472
_cell_angle_alpha 90.00
_cell_angle_beta 90.00
_cell_angle_gamma 90.00
loop_
_atom_site_label
_atom_site_type_symbol
_atom_site_fract_x
_atom_site_fract_y
_atom_site_fract_z
U1 U 0.0000 0.0000 0.2261
Ge1 Ge 0.5000 0.5000 0.0000
Te1 Te 0.5000 0.5000 0.5000
# energy relative to the elements, uncorrected	-0.265	eV per atom
# energy above the lowest structure with this stoichiometry	0.010	eV per atom

---

# 5
# LaMoSe2 PBE optimized geometry
data_LaMoSe2
_space_group_name_H-M_alt 'R -3 m'
_space_group_IT_number 166
_space_group_name_Hall '-R 3 2"'
_cell_length_a 3.3393
_cell_length_b 3.3393
_cell_length_c 28.7608
_cell_angle_alpha 90.00
_cell_angle_beta 90.00
_cell_angle_gamma 120.00
loop_
_atom_site_label
_atom_site_type_symbol
_atom_site_fract_x
_atom_site_fract_y
_atom_site_fract_z
La1 La 0.0000 0.0000 0.0000
Mo1 Mo 0.0000 0.0000 0.5000
Se1 Se 0.0000 0.0000 0.1066
# energy relative to the elements, uncorrected	-0.363	eV per atom
# energy above the lowest structure with this stoichiometry	0.513	eV per atom

---

# 6
# SrAl2OsN PBE optimized geometry
data_SrAl2OsN
_space_group_name_H-M_alt 'P 4/m m m'
_space_group_IT_number 123
_space_group_name_Hall '-P 4 2'
_cell_length_a 4.8431
_cell_length_b 4.8431
_cell_length_c 3.8965
_cell_angle_alpha 90.00
_cell_angle_beta 90.00
_cell_angle_gamma 90.00
loop_
_atom_site_label
_atom_site_type_symbol
_atom_site_fract_x
_atom_site_fract_y
_atom_site_fract_z
Sr1 Sr 0.0000 0.0000 0.0000
Al1 Al 0.0000 0.5000 0.5000
Os1 Os 0.5000 0.5000 0.0000
N1 N 0.5000 0.5000 0.5000
# energy relative to the elements, uncorrected	0.396	eV per atom

---

# 7
# TlCd2Au PBE optimized geometry
data_TlCd2Au
_space_group_name_H-M_alt 'C 1 m 1'
_space_group_IT_number 8
_space_group_name_Hall 'C -2y'
_cell_length_a 9.7030
_cell_length_b 3.7775
_cell_length_c 5.2202
_cell_angle_alpha 90.00
_cell_angle_beta 102.09
_cell_angle_gamma 90.00
loop_
_atom_site_label
_atom_site_type_symbol
_atom_site_fract_x
_atom_site_fract_y
_atom_site_fract_z
Tl1 Tl 0.0000 0.0000 0.0000
Cd1 Cd 0.2395 0.0000 0.7224
Cd2 Cd 0.4854 0.0000 0.4734
Au1 Au 0.2482 0.5000 0.2764
# energy of formation	-5	meV/atom
# energy above the lowest structure with this stoichiometry	0.087	eV per atom

---

# 8
# NpGaSi2 PBE optimized geometry
data_NpGaSi2
_space_group_name_H-M_alt 'P 4/m m m'
_space_group_IT_number 123
_space_group_name_Hall '-P 4 2'
_cell_length_a 4.1857
_cell_length_b 4.1857
_cell_length_c 3.9283
_cell_angle_alpha 90.00
_cell_angle_beta 90.00
_cell_angle_gamma 90.00
loop_
_atom_site_label
_atom_site_type_symbol
_atom_site_fract_x
_atom_site_fract_y
_atom_site_fract_z
Np1 Np 0.0000 0.0000 0.0000
Ga1 Ga 0.5000 0.5000 0.0000
Si1 Si 0.0000 0.5000 0.5000
# energy relative to the elements, uncorrected	-0.213	eV per atom
# energy above the lowest structure with this stoichiometry	0.000	eV per atom

---

# 9
# MoN2Cl PBE optimized geometry
data_MoN2Cl
_space_group_name_H-M_alt 'R -3 m'
_space_group_IT_number 166
_space_group_name_Hall '-R 3 2"'
_cell_length_a 3.0470
_cell_length_b 3.0470
_cell_length_c 18.7202
_cell_angle_alpha 90.00
_cell_angle_beta 90.00
_cell_angle_gamma 120.00
loop_
_atom_site_label
_atom_site_type_symbol
_atom_site_fract_x
_atom_site_fract_y
_atom_site_fract_z
Mo1 Mo 0.0000 0.0000 0.0000
N1 N 0.0000 0.0000 0.3943
Cl1 Cl 0.0000 0.0000 0.5000
# energy relative to the elements, uncorrected	0.349	eV per atom
# energy above the lowest structure with this stoichiometry	0.130	eV per atom

---

# 10
# Tm3Ni5S12 PBE optimized geometry
data_Tm3Ni5S12
_space_group_name_H-M_alt 'I a -3 d'
_space_group_IT_number 230
_space_group_name_Hall '-I 4bd 2c 3'
_cell_length_a 14.3452
_cell_length_b 14.3452
_cell_length_c 14.3452
_cell_angle_alpha 90.00
_cell_angle_beta 90.00
_cell_angle_gamma 90.00
loop_
_atom_site_label
_atom_site_type_symbol
_atom_site_fract_x
_atom_site_fract_y
_atom_site_fract_z
Tm1 Tm 0.0000 0.2500 0.1250
Ni1 Ni 0.0000 0.0000 0.0000
Ni2 Ni 0.0000 0.2500 0.3750
S1 S 0.0283 0.0555 0.6471
# energy relative to the elements, uncorrected	-0.827	eV per atom

---

| no. | energy (eV per cell) |
| --- | --- |
| 1 | -28.06 |
| 2 | -62.43 |
| 3 | -13.22 |
| 4 | -31.39 |
| 5 | -72.54 |
| 6 | -26.74 |
| 7 | -14.99 |
| 8 | -27.67 |
| 9 | -83.80 |
| 10 | -867.07 |